No. 1
VASP calculation (meta-GGA SCAN) on a crystal of OsAu2Cl relaxed with PBEsol.

## Properties
E_form (uncorrected)	0.587	eV/atom
space group	R-3m
ρ	15.8	Mg/m³
final energy	-53.956	eV/atom

Cell lengths 2.952, 2.952, 8.810 Å; angles 80.35, 80.35, 60.00 degrees
Site moments in Bohr magnetons follow the coordinates.
Atoms (fractional coordinates):
1 Os 0.000 0.000 0.000  0.41
2 Cl 0.500 0.500 0.500  -0.01
3 Au 0.251 0.251 0.247  0.01
4 Au 0.749 0.749 0.753  0.01


No. 2
VASP calculation (meta-GGA SCAN) on a crystal of BeCoNi2 relaxed with PBEsol.

## Properties
ΔE_f	-246	meV per atom
space group	P4/mmm
ρ	8.1	Mg/m³
final energy	-13.747	eV/atom

Cell lengths 2.477, 2.477, 6.199 Å; angles 90.00, 90.00, 90.00 degrees
Site moments in Bohr magnetons follow the coordinates.
Atoms (fractional coordinates):
1 Ni 0.000 0.000 0.222  0.44
2 Ni 0.000 0.000 0.778  0.44
3 Be 0.500 0.500 0.000  -0.02
4 Co 0.500 0.500 0.500  1.98


No. 3
VASP calculation (meta-GGA SCAN) on a crystal of Ti2CoIN relaxed with PBEsol.

## Properties
E_form (uncorrected)	2.031	eV/atom
space group	P4/mmm
ρ	4.6	Mg/m³
final energy	-17.049	eV/atom

Cell lengths 4.371, 4.964, 4.964 Å; angles 90.00, 90.00, 90.00 degrees
Site moments in Bohr magnetons follow the coordinates.
Atoms (fractional coordinates):
1 N 0.500 0.500 0.500  1.09
2 Ti 0.000 0.500 0.000  -1.61
3 Ti 0.000 0.000 0.500  -1.61
4 I 0.000 0.000 0.000  -0.01
5 Co 0.500 0.000 0.000  1.22